Here is an optimized crystal structure of KCaFeBiO6 from Alexandria via LeMat-Bulk. Energies are from PBE with a Hubbard U.

Total magnetization (μB/f.u.): 5.5
Crystal system: cubic
VASP energy (eV per atom): -5.605

Lattice parameters (Å, degrees): 5.788 5.788 5.788 60.00 60.00 60.00
Fractional coordinates of all 10 atoms:
K  0.000  0.000  0.000
Ca  0.500  0.500  0.500
Fe  0.250  0.250  0.250
Bi  0.750  0.750  0.750
O  0.007  0.007  0.493
O  0.007  0.493  0.007
O  0.007  0.493  0.493
O  0.493  0.007  0.007
O  0.493  0.007  0.493
O  0.493  0.493  0.007